# 1
The following is a GGA-PBE calculation of a relaxed structure of FeTe2Br, from Alexandria via LeMat-Bulk.

Calculated values
**ΔE_f (raw)**: 517 meV/atom
**Space-group type**: P4/mmm, No. 123
**Energy relative to the lowest polymorph listed for this composition**: 605.2 meV/atom

Lattice parameters (Å, degrees): 4.139 4.139 7.063 90.00 90.00 90.00
Fractional coordinates of all 4 atoms:
Fe1 0.000 0.000 0.000
Te1 0.000 0.500 0.500
Te2 0.500 0.000 0.500
Br1 0.500 0.500 0.000



# 2
The following is a GGA-PBE calculation of a relaxed structure of FeTeBr4, from Alexandria via LeMat-Bulk.

Calculated values
**ΔE_f (raw)**: 1025 meV/atom
**Space-group type**: F-43m, No. 216

Lattice parameters (Å, degrees): 6.172 6.172 6.172 60.00 60.00 60.00
Fractional coordinates of all 6 atoms:
Fe1 0.000 0.000 0.000
Te1 0.750 0.750 0.750
Br1 0.374 0.374 0.374
Br2 0.374 0.374 0.878
Br3 0.374 0.878 0.374
Br4 0.878 0.374 0.374



# 3
The following is a GGA-PBE calculation of a relaxed structure of Fe2TeBr, from Alexandria via LeMat-Bulk.

Calculated values
**ΔE_f (raw)**: 145 meV/atom
**Space-group type**: C2/m, No. 12
**Energy relative to the lowest polymorph listed for this composition**: 221.9 meV/atom

Lattice parameters (Å, degrees): 8.998 3.332 7.412 90.00 125.72 90.00
Fractional coordinates of all 8 atoms:
Fe1 0.207 0.000 0.352
Fe2 0.293 0.500 0.648
Fe3 0.707 0.500 0.352
Fe4 0.793 0.000 0.648
Te1 0.000 0.000 0.500
Te2 0.500 0.500 0.500
Br1 0.000 0.500 0.000
Br2 0.500 0.000 0.000



# 4
The following is a GGA-PBE calculation of a relaxed structure of Fe2TeBr, from Alexandria via LeMat-Bulk.

Calculated values
**ΔE_f (raw)**: 611 meV/atom
**Space-group type**: I-4m2, No. 119
**Energy relative to the lowest polymorph listed for this composition**: 687.4 meV/atom

Lattice parameters (Å, degrees): 3.729 3.729 12.427 90.00 90.00 90.00
Fractional coordinates of all 8 atoms:
Fe1 0.000 0.000 0.000
Fe2 0.000 0.500 0.250
Fe3 0.500 0.000 0.750
Fe4 0.500 0.500 0.500
Te1 0.000 0.500 0.750
Te2 0.500 0.000 0.250
Br1 0.000 0.000 0.500
Br2 0.500 0.500 0.000